(1)
## GaHO2F (PBE-GGA)

Data for a relaxed GaHO2F crystal.

Cell and atoms, written as CIF:
```
data_GaHO2F
_cell_length_a 3.862
_cell_length_b 3.862
_cell_length_c 3.879
_cell_angle_alpha 90.00
_cell_angle_beta 90.00
_cell_angle_gamma 90.00
_space_group_name_H-M_alt 'P 4/m m m'
_space_group_IT_number 123
_space_group_name_Hall '-P 4 2'
loop_
_atom_site_label
_atom_site_type_symbol
_atom_site_fract_x
_atom_site_fract_y
_atom_site_fract_z
_atom_site_occupancy
Ga1 Ga 0.000 0.000 0.000 1
H1 H 0.500 0.500 0.500 1
O1 O 0.000 0.500 0.000 1
F1 F 0.000 0.000 0.500 1
```

Calculated values
calculated total energy: -0.1462 Ha/atom
mass density: 3.49 Mg/m³
size of the total moment: 1.00 Bohr magnetons per cell

(2)
## GaH2PbF8 (PBE-GGA)

Data for a relaxed GaH2PbF8 crystal.

Cell and atoms, written as CIF:
```
data_GaH2PbF8
_cell_length_a 4.302
_cell_length_b 7.867
_cell_length_c 4.400
_cell_angle_alpha 90.00
_cell_angle_beta 112.24
_cell_angle_gamma 90.00
_space_group_name_H-M_alt 'P 1 2/m 1'
_space_group_IT_number 10
loop_
_space_group_symop_operation_xyz
'x,y,z'
'-x,-y,-z'
'-x,y,-z'
'x,-y,z'
loop_
_atom_site_label
_atom_site_type_symbol
_atom_site_fract_x
_atom_site_fract_y
_atom_site_fract_z
_atom_site_occupancy
Ga1 Ga 0.000 0.000 0.000 1
H1 H 0.500 0.202 0.500 1
Pb1 Pb 0.000 0.500 0.000 1
F1 F 0.247 0.000 0.753 1
F2 F 0.261 0.206 0.261 1
F3 F 0.322 0.500 0.687 1
```

Calculated values
calculated total energy: -0.1580 Ha/atom
mass density: 5.19 Mg/m³
size of the total moment: 0.83 Bohr magnetons per cell

(3)
## GaHPtF2 (PBE-GGA)

Data for a relaxed GaHPtF2 crystal.

Cell and atoms, written as CIF:
```
data_GaHPtF2
_cell_length_a 3.776
_cell_length_b 3.776
_cell_length_c 3.919
_cell_angle_alpha 90.00
_cell_angle_beta 90.00
_cell_angle_gamma 90.00
_space_group_name_H-M_alt 'P 4/m m m'
_space_group_IT_number 123
_space_group_name_Hall '-P 4 2'
loop_
_atom_site_label
_atom_site_type_symbol
_atom_site_fract_x
_atom_site_fract_y
_atom_site_fract_z
_atom_site_occupancy
Ga1 Ga 0.000 0.000 0.000 1
H1 H 0.500 0.500 0.500 1
Pt1 Pt 0.500 0.500 0.000 1
F1 F 0.000 0.500 0.500 1
```

Calculated values
calculated total energy: -0.1338 Ha/atom
mass density: 9.03 Mg/m³
size of the total moment: 0.00 Bohr magnetons per cell

(4)
## Rb2GaHF6 (PBE-GGA)

Data for a relaxed Rb2GaHF6 crystal.

Cell and atoms, written as CIF:
```
data_Rb2GaHF6
_cell_length_a 5.304
_cell_length_b 5.304
_cell_length_c 10.071
_cell_angle_alpha 90.00
_cell_angle_beta 90.00
_cell_angle_gamma 90.00
_space_group_name_H-M_alt 'I 4/m m m'
_space_group_IT_number 139
_space_group_name_Hall '-I 4 2'
loop_
_atom_site_label
_atom_site_type_symbol
_atom_site_fract_x
_atom_site_fract_y
_atom_site_fract_z
_atom_site_occupancy
Rb1 Rb 0.000 0.500 0.250 1
Ga1 Ga 0.000 0.000 0.000 1
H1 H 0.000 0.000 0.500 1
F1 F 0.000 0.000 0.187 1
F2 F 0.235 0.235 0.500 1
```

Calculated values
calculated total energy: -0.1538 Ha/atom
mass density: 4.17 Mg/m³
size of the total moment: 0.00 Bohr magnetons per cell

(5)
## SrGaH2F8 (PBE-GGA)

Data for a relaxed SrGaH2F8 crystal.

Cell and atoms, written as CIF:
```
data_SrGaH2F8
_cell_length_a 4.551
_cell_length_b 7.872
_cell_length_c 4.591
_cell_angle_alpha 90.00
_cell_angle_beta 116.69
_cell_angle_gamma 90.00
_space_group_name_H-M_alt 'P 1 2/m 1'
_space_group_IT_number 10
loop_
_space_group_symop_operation_xyz
'x,y,z'
'-x,-y,-z'
'-x,y,-z'
'x,-y,z'
loop_
_atom_site_label
_atom_site_type_symbol
_atom_site_fract_x
_atom_site_fract_y
_atom_site_fract_z
_atom_site_occupancy
Sr1 Sr 0.000 0.000 0.000 1
Ga1 Ga 0.000 0.500 0.000 1
H1 H 0.500 0.307 0.500 1
F1 F 0.236 0.500 0.766 1
F2 F 0.260 0.302 0.262 1
F3 F 0.326 0.000 0.703 1
```

Calculated values
calculated total energy: -0.1652 Ha/atom
mass density: 3.52 Mg/m³
size of the total moment: 1.00 Bohr magnetons per cell

(6)
## Sr2GaHF (PBE-GGA)

Data for a relaxed Sr2GaHF crystal.

Cell and atoms, written as CIF:
```
data_Sr2GaHF
_cell_length_a 4.939
_cell_length_b 4.939
_cell_length_c 4.788
_cell_angle_alpha 90.00
_cell_angle_beta 90.00
_cell_angle_gamma 90.00
_space_group_name_H-M_alt 'P 4/m m m'
_space_group_IT_number 123
_space_group_name_Hall '-P 4 2'
loop_
_atom_site_label
_atom_site_type_symbol
_atom_site_fract_x
_atom_site_fract_y
_atom_site_fract_z
_atom_site_occupancy
Sr1 Sr 0.000 0.500 0.000 1
Ga1 Ga 0.000 0.000 0.500 1
H1 H 0.500 0.500 0.000 1
F1 F 0.500 0.500 0.500 1
```

Calculated values
calculated total energy: -0.1106 Ha/atom
mass density: 3.77 Mg/m³
size of the total moment: 0.00 Bohr magnetons per cell

(7)
## GaTeH2F (PBE-GGA)

Data for a relaxed GaTeH2F crystal.

Cell and atoms, written as CIF:
```
data_GaTeH2F
_cell_length_a 4.057
_cell_length_b 4.057
_cell_length_c 4.131
_cell_angle_alpha 90.00
_cell_angle_beta 90.00
_cell_angle_gamma 90.00
_space_group_name_H-M_alt 'P 4/m m m'
_space_group_IT_number 123
_space_group_name_Hall '-P 4 2'
loop_
_atom_site_label
_atom_site_type_symbol
_atom_site_fract_x
_atom_site_fract_y
_atom_site_fract_z
_atom_site_occupancy
Ga1 Ga 0.000 0.000 0.000 1
Te1 Te 0.500 0.500 0.000 1
H1 H 0.000 0.500 0.500 1
F1 F 0.000 0.000 0.500 1
```

Calculated values
calculated total energy: -0.0980 Ha/atom
mass density: 5.33 Mg/m³
size of the total moment: 0.06 Bohr magnetons per cell

(8)
## TiGaH2F (PBE-GGA)

Data for a relaxed TiGaH2F crystal.

Cell and atoms, written as CIF:
```
data_TiGaH2F
_cell_length_a 3.534
_cell_length_b 3.534
_cell_length_c 5.546
_cell_angle_alpha 90.00
_cell_angle_beta 90.00
_cell_angle_gamma 90.00
_space_group_name_H-M_alt 'P 4/m m m'
_space_group_IT_number 123
_space_group_name_Hall '-P 4 2'
loop_
_atom_site_label
_atom_site_type_symbol
_atom_site_fract_x
_atom_site_fract_y
_atom_site_fract_z
_atom_site_occupancy
Ti1 Ti 0.000 0.000 0.000 1
Ga1 Ga 0.000 0.000 0.500 1
H1 H 0.000 0.500 0.000 1
F1 F 0.500 0.500 0.500 1
```

Calculated values
calculated total energy: -0.1558 Ha/atom
mass density: 3.32 Mg/m³
size of the total moment: 1.00 Bohr magnetons per cell